Version 1
Y3SiTe after structural relaxation. Source: Alexandria via LeMat-Bulk, functional GGA-PBE.

Cell and atoms, written as CIF:
```
data_Y3SiTe
_symmetry_space_group_name_H-M 'P 1'
_symmetry_Int_Tables_number 1
_cell_length_a 6.1521
_cell_length_b 9.2768
_cell_length_c 11.4937
_cell_angle_alpha 126.20
_cell_angle_beta 90.00
_cell_angle_gamma 90.00
loop_
_symmetry_equiv_pos_as_xyz
'x,y,z'
loop_
_atom_site_label
_atom_site_type_symbol
_atom_site_fract_x
_atom_site_fract_y
_atom_site_fract_z
Y1 Y 0.0000 0.7500 0.7500
Y2 Y 0.0000 0.2500 0.2500
Y3 Y 0.5000 0.7500 0.7500
Y4 Y 0.5000 0.2500 0.2500
Y5 Y 0.7500 0.6657 0.4447
Y6 Y 0.2500 0.3343 0.5553
Y7 Y 0.2500 0.8343 0.0553
Y8 Y 0.7500 0.1657 0.9447
Y9 Y 0.2500 0.5495 0.1502
Y10 Y 0.7500 0.4505 0.8498
Y11 Y 0.7500 0.9505 0.3498
Y12 Y 0.2500 0.0495 0.6502
Si1 Si 0.7500 0.0372 0.6542
Si2 Si 0.2500 0.9628 0.3458
Si3 Si 0.2500 0.4628 0.8458
Si4 Si 0.7500 0.5372 0.1542
Te1 Te 0.2500 0.6166 0.4612
Te2 Te 0.7500 0.3834 0.5388
Te3 Te 0.7500 0.8834 0.0388
Te4 Te 0.2500 0.1166 0.9612
```

***

Version 2
Y3SiTe after structural relaxation. Source: Alexandria via LeMat-Bulk, functional GGA-PBE.

Cell and atoms, written as CIF:
```
data_Y3SiTe
_symmetry_space_group_name_H-M 'P 1'
_symmetry_Int_Tables_number 1
_cell_length_a 5.3641
_cell_length_b 5.3641
_cell_length_c 5.3641
_cell_angle_alpha 90.00
_cell_angle_beta 90.00
_cell_angle_gamma 90.00
loop_
_symmetry_equiv_pos_as_xyz
'x,y,z'
loop_
_atom_site_label
_atom_site_type_symbol
_atom_site_fract_x
_atom_site_fract_y
_atom_site_fract_z
Y1 Y 0.0000 0.5000 0.0000
Y2 Y 0.0000 0.0000 0.5000
Y3 Y 0.5000 0.0000 0.0000
Si1 Si 0.0000 0.0000 0.0000
Te1 Te 0.5000 0.5000 0.5000
```

***

version 1 (31.0 kJ/mol of atoms below the next structure)

***

Version 1
YSi3Te after structural relaxation. Source: Alexandria via LeMat-Bulk, functional GGA-PBE.

Cell and atoms, written as CIF:
```
data_YSi3Te
_symmetry_space_group_name_H-M 'P 1'
_symmetry_Int_Tables_number 1
_cell_length_a 5.3819
_cell_length_b 5.3819
_cell_length_c 5.3819
_cell_angle_alpha 90.00
_cell_angle_beta 90.00
_cell_angle_gamma 90.00
loop_
_symmetry_equiv_pos_as_xyz
'x,y,z'
loop_
_atom_site_label
_atom_site_type_symbol
_atom_site_fract_x
_atom_site_fract_y
_atom_site_fract_z
Y1 Y 0.0000 0.0000 0.0000
Si1 Si 0.0000 0.5000 0.0000
Si2 Si 0.0000 0.0000 0.5000
Si3 Si 0.5000 0.0000 0.0000
Te1 Te 0.5000 0.5000 0.5000
```

***

Version 2
YSi3Te after structural relaxation. Source: Alexandria via LeMat-Bulk, functional GGA-PBE.

Cell and atoms, written as CIF:
```
data_YSi3Te
_symmetry_space_group_name_H-M 'P 1'
_symmetry_Int_Tables_number 1
_cell_length_a 5.1090
_cell_length_b 5.1090
_cell_length_c 5.1090
_cell_angle_alpha 90.00
_cell_angle_beta 90.00
_cell_angle_gamma 90.00
loop_
_symmetry_equiv_pos_as_xyz
'x,y,z'
loop_
_atom_site_label
_atom_site_type_symbol
_atom_site_fract_x
_atom_site_fract_y
_atom_site_fract_z
Y1 Y 0.5000 0.5000 0.5000
Si1 Si 0.0000 0.5000 0.0000
Si2 Si 0.0000 0.0000 0.5000
Si3 Si 0.5000 0.0000 0.0000
Te1 Te 0.0000 0.0000 0.0000
```

***

version 2 (22.7 kJ/mol of atoms below the next structure)